# CsDyCr2O8 (PBE with a Hubbard U, optimized geometry)
data_CsDyCr2O8
_cell_length_a 5.8235
_cell_length_b 5.8235
_cell_length_c 8.4701
_cell_angle_alpha 90.00
_cell_angle_beta 90.00
_cell_angle_gamma 120.00
_symmetry_space_group_name_H-M 'P -3'
_symmetry_Int_Tables_number 147
loop_
_symmetry_equiv_pos_as_xyz
'x,y,z'
'-x,-y,-z'
'-y,x-y,z'
'y,-x+y,-z'
'-x+y,-x,z'
'x-y,x,-z'
loop_
_atom_site_label
_atom_site_fract_x
_atom_site_fract_y
_atom_site_fract_z
_atom_site_occupancy
Cs1 0.0000 0.0000 0.0000 1
Dy1 0.0000 0.0000 0.5000 1
Cr1 0.3333 0.6667 0.7275 1
O1 0.1710 0.3522 0.6631 1
O2 0.3333 0.6667 0.9192 1
# - total DFT energy (no corrections) (eV per atom) = -6.93
# - calculated volume (Å³ per cell) = 249